A relaxed structure of AcPrPb4, computed with PBE.

Calculated values
energy relative to the elements = -0.39 eV/atom
symmetry = Cmcm, No. 63

Cell lengths 4.915, 6.988, 11.963 Å; angles 90.00, 101.86, 90.00 degrees
Atoms (fractional coordinates):
Ac 0.723 0.250 0.446
Ac 0.277 0.750 0.554
Pr 0.426 0.250 0.851
Pr 0.574 0.750 0.149
Pb 0.000 0.000 0.000
Pb 0.000 0.500 0.000
Pb 0.148 0.996 0.297
Pb 0.852 0.496 0.703
Pb 0.148 0.504 0.297
Pb 0.852 0.004 0.703
Pb 0.575 0.250 0.150
Pb 0.425 0.750 0.850